1.
Ce2MgNi4P3 | PBE-GGA | optimized geometry

It has space group P-4m2 (No. 115), with a = 3.935 Å, b = 3.935 Å, c = 9.895 Å, α = 90.00°, β = 90.00° and γ = 90.00°. The distinct sites, in fractional coordinates, are Ce at (0.000, 0.500, 0.234), Mg at (0.000, 0.000, 0.500), Ni at (0.000, 0.000, 0.000), Ni at (0.000, 0.500, 0.648), Ni at (0.500, 0.500, 0.000), P at (0.000, 0.500, 0.875) and P at (0.500, 0.500, 0.500).

The calculation puts the total moment at 0.001 μB per cell. For the formation energy, the calculation gives -0.88 eV/atom.



2.
CeGdLuSc | PBE-GGA | optimized geometry

It has space group F-43m (No. 216), with a = 7.772 Å, b = 7.772 Å, c = 7.772 Å, α = 90.00°, β = 90.00° and γ = 90.00°. The distinct sites, in fractional coordinates, are Ce at (0.000, 0.000, 0.000), Gd at (0.000, 0.000, 0.500), Lu at (0.250, 0.250, 0.250) and Sc at (0.250, 0.250, 0.750).

The calculation puts the total moment at 31.155 μB per cell. For the formation energy, the calculation gives 0.11 eV/atom.



3.
Sr2ThCdSe5 | PBE-GGA | optimized geometry

It has space group Cmc2_1 (No. 36), with a = 4.322 Å, b = 18.381 Å, c = 13.288 Å, α = 90.00°, β = 90.00° and γ = 90.00°. The distinct sites, in fractional coordinates, are Sr at (0.000, 0.104, 0.000), Sr at (0.000, 0.124, 0.634), Th at (0.000, 0.211, 0.339), Cd at (0.000, 0.456, 0.773), Se at (0.000, 0.056, 0.388), Se at (0.000, 0.283, 0.988), Se at (0.000, 0.304, 0.691), Se at (0.000, 0.367, 0.324) and Se at (0.000, 0.497, 0.090).

The calculation puts the total moment at 0.000 μB per cell. The uncorrected formation energy comes out at -14.45 eV per formula unit.



4.
InAgBr6 | PBE-GGA | optimized geometry

It has space group P-1 (No. 2), with a = 5.976 Å, b = 7.227 Å, c = 7.749 Å, α = 66.46°, β = 72.24° and γ = 85.07°. The distinct sites, in fractional coordinates, are In at (0.000, 0.000, 0.000), Ag at (0.500, 0.500, 0.000), Br at (0.052, 0.808, 0.341), Br at (0.265, 0.370, 0.844) and Br at (0.405, 0.851, 0.797).

The calculation puts the total moment at 0.000 μB per cell. The uncorrected formation energy comes out at -3.14 eV per formula unit.



5.
RbZnOs2O8 | PBE-GGA | optimized geometry

It has space group C2/m (No. 12), with a = 8.739 Å, b = 5.964 Å, c = 8.401 Å, α = 90.00°, β = 94.89° and γ = 90.00°. The distinct sites, in fractional coordinates, are Rb at (0.000, 0.000, 0.000), Zn at (0.000, 0.000, 0.500), Os at (0.120, 0.500, 0.296), O at (0.015, 0.244, 0.317), O at (0.181, 0.500, 0.101) and O at (0.236, 0.000, 0.539).

The calculation puts the total moment at 6.055 μB per cell. The uncorrected formation energy comes out at -13.11 eV per formula unit.



6.
TlGa2Sn4 | PBE-GGA | optimized geometry

It has space group P4_2/mnm (No. 136), with a = 9.032 Å, b = 9.032 Å, c = 4.725 Å, α = 90.00°, β = 90.00° and γ = 90.00°. The distinct sites, in fractional coordinates, are Tl at (0.000, 0.000, 0.000), Ga at (0.222, 0.222, 0.500) and Sn at (0.077, 0.670, 0.500).

The calculation puts the total moment at 0.000 μB per cell. For the formation energy, the calculation gives 0.07 eV/atom. The value obtained for the relative energy among the computed polymorphs is 17 meV per atom.



7.
Tm4AlZnCd2 | PBE-GGA | optimized geometry

It has space group R-3m (No. 166, hexagonal axes), with a = 5.1208 Å, b = 5.1208 Å, c = 25.1134 Å, α = 90.00°, β = 90.00° and γ = 120.00°. The distinct sites, in fractional coordinates, are Tm at (0.0000, 0.0000, 0.1238), Tm at (0.0000, 0.0000, 0.3739), Al at (0.0000, 0.0000, 0.5000), Zn at (0.0000, 0.0000, 0.0000) and Cd at (0.0000, 0.0000, 0.2493).

The calculation puts the total moment at 0.000 μB per cell. For the formation energy, the calculation gives -0.33 eV/atom.



8.
SrV3Ir | PBE-GGA | optimized geometry

It has space group Pm-3m (No. 221), with a = 4.422 Å, b = 4.422 Å, c = 4.422 Å, α = 90.00°, β = 90.00° and γ = 90.00°. The distinct sites, in fractional coordinates, are Sr at (0.000, 0.000, 0.000), V at (0.000, 0.000, 0.500) and Ir at (0.500, 0.500, 0.500).

The calculation puts the total moment at 0.000 μB per cell. For the formation energy, the calculation gives 2.46 eV/atom. The value obtained for the relative energy among the computed polymorphs is 1817 meV per atom.